Material: K3ZrIn
Method: DFT, PBE-GGA
State: relaxed

```
5
Lattice="6.639 0.000 0.000 0.000 6.639 0.000 0.000 0.000 6.639" Properties=species:S:1:pos:R:3 pbc="T T T"
K 3.319 0.000 0.000
K 0.000 3.319 0.000
K 0.000 0.000 3.319
In 3.319 3.319 3.319
Zr 0.000 0.000 0.000
```

Calculated values
The formation energy is 5.74 eV per formula unit. The space-group type is No. 221.



Material: K2ZrIn
Method: DFT, PBE-GGA
State: relaxed

```
4
Lattice="3.226 0.000 0.000 0.000 6.317 0.000 0.000 0.000 6.488" Properties=species:S:1:pos:R:3 pbc="T T T"
Zr 1.613 3.158 1.622
K 0.000 0.000 3.277
K 0.000 0.000 6.454
In 1.613 3.158 4.866
```

Calculated values
The formation energy is 2.35 eV per formula unit. The space-group type is No. 47.



Material: KZrIn2
Method: DFT, PBE-GGA
State: relaxed

```
4
Lattice="6.267 0.004 0.026 5.505 2.994 0.026 1.472 0.375 5.749" Properties=species:S:1:pos:R:3 pbc="T T T"
Zr 9.792 2.494 4.847
In 3.623 0.923 1.707
In 12.971 3.304 5.437
K 6.723 1.713 2.513
```

Calculated values
The formation energy is 0.52 eV per formula unit. For the relative energy among the computed polymorphs, the calculation gives 209 meV per atom. The space-group type is No. 8.



Material: KZr2In
Method: DFT, PBE-GGA
State: relaxed

```
4
Lattice="3.170 0.000 0.000 0.000 3.170 0.000 0.000 0.000 11.224" Properties=species:S:1:pos:R:3 pbc="T T T"
Zr 0.000 0.000 4.936
Zr 0.000 0.000 0.676
K 1.585 1.585 8.418
In 1.585 1.585 2.806
```

Calculated values
The formation energy is 1.26 eV per formula unit. The space-group type is No. 123.



Material: KZrIn2
Method: DFT, PBE-GGA
State: relaxed

```
8
Lattice="5.477 0.000 0.000 0.000 5.477 0.000 2.739 2.739 10.039" Properties=species:S:1:pos:R:3 pbc="T T T"
In 4.108 3.477 7.529
In 6.847 7.477 7.529
In 4.739 1.369 2.510
In 0.739 4.108 2.510
K 2.739 5.477 5.019
K 2.739 2.739 0.000
Zr 0.000 0.000 0.000
Zr 5.477 2.739 5.019
```

Calculated values
The formation energy is 2.22 eV per formula unit. For the relative energy among the computed polymorphs, the calculation gives 634 meV per atom. The space-group type is No. 122.



Material: KZr2In
Method: DFT, PBE-GGA
State: relaxed

```
4
Lattice="-0.813 -4.011 -4.104 -1.998 -4.939 2.282 -1.673 5.527 0.493" Properties=species:S:1:pos:R:3 pbc="T T T"
Zr 0.000 0.000 0.000
Zr -2.538 -1.943 0.932
K -1.946 -1.480 -2.261
In -1.406 -4.475 -0.911
```

Calculated values
The formation energy is 2.37 eV per formula unit. The space-group type is No. 119.



Calculated values (g/cm³) of theoretical density for the records, taken in order: 1.84 3.57 5.55 4.95 3.97 5.43.